# KRbBiAu (GGA-PBE, relaxed)
# - calculated volume (Å³ per cell) = 508.38
# - theoretical density (g/cm³) = 6.9
# - total DFT energy (no corrections) (eV/atom) = -2.529
data_KRbBiAu
_cell_length_a 7.981
_cell_length_b 7.981
_cell_length_c 7.981
_cell_angle_alpha 90.00
_cell_angle_beta 90.00
_cell_angle_gamma 90.00
_space_group_name_H-M_alt 'F -4 3 m'
_space_group_IT_number 216
_space_group_name_Hall 'F -4 2 3'
loop_
_atom_site_label
_atom_site_fract_x
_atom_site_fract_y
_atom_site_fract_z
K1 0.000 0.000 0.000
Rb1 0.250 0.250 0.750
Bi1 0.250 0.250 0.250
Au1 0.000 0.000 0.500